1.
DFT (PBE-GGA) results for crystalline BN at its relaxed geometry.

Geometry as POSCAR:
```
BN
1.0
-3.8928 3.0809 0.5409
1.8524 -3.4572 -3.0911
-2.8048 -3.1121 1.1655
B N
4 4
direct
0.8230 0.4358 0.9918
0.4358 0.8230 0.4918
0.4336 0.5656 0.0002
0.5656 0.4336 0.5002
0.2217 0.6143 0.8408
0.6201 0.4882 0.8211
0.4882 0.6201 0.3211
0.6143 0.2217 0.3408
```

Output
magnetic moment	0.0	μB per formula unit
space group	Cc, No. 9
formation energy (no corrections)	-2.13	eV/f.u.
offset from the most stable computed form	220	meV/atom
D(E_F)	0.0	states/eV/cell

---

2.
DFT (PBE-GGA) results for crystalline InPt2Au2 at its relaxed geometry.

Geometry as POSCAR:
```
InPt2Au2
1.0
6.9292 0.0000 0.0000
0.0000 6.9292 0.0000
0.0000 0.0000 3.9333
Pt Au In
4 4 2
direct
0.1364 0.3636 0.0000
0.3636 0.8636 0.0000
0.6364 0.1364 0.0000
0.8636 0.6364 0.0000
0.3376 0.1624 0.5000
0.1624 0.6624 0.5000
0.8376 0.3376 0.5000
0.6624 0.8376 0.5000
0.0000 0.0000 0.0000
0.5000 0.5000 0.0000
```

Output
energy of formation	-0.125	eV/atom
magnetic moment	0.0	μB per formula unit
space group	P4/mbm, No. 127
offset from the most stable computed form	0	meV/atom
D(E_F)	3.5	states/eV/cell

---

3.
DFT (PBE-GGA) results for crystalline AcMnCuH6 at its relaxed geometry.

Geometry as POSCAR:
```
AcMnCuH6
1.0
4.5988 0.0001 0.0000
2.2995 3.9827 0.0001
0.0000 -0.0002 4.6827
H Ac Mn Cu
6 1 1 1
direct
0.0163 0.4918 0.7387
0.4918 0.0163 0.2613
0.0164 0.4918 0.2613
0.4918 0.4919 0.2613
0.4918 0.4919 0.7387
0.4918 0.0163 0.7387
0.9999 0.0000 0.0000
0.3334 0.3333 0.5000
0.6667 0.6667 0.5000
```

Output
magnetic moment	2.3	μB per formula unit
space group	P-6m2, No. 187
D(E_F)	2.8	states/eV/cell
calculated total energy	-4.4400	eV per atom

---

> Number 3 is which compound?

AcMnCuH6

---

> Which of these has the highest magnetic moment?

AcMnCuH6

---

Repeat the third record exactly.
DFT (PBE-GGA) results for crystalline AcMnCuH6 at its relaxed geometry.

Geometry as POSCAR:
```
AcMnCuH6
1.0
4.5988 0.0001 0.0000
2.2995 3.9827 0.0001
0.0000 -0.0002 4.6827
H Ac Mn Cu
6 1 1 1
direct
0.0163 0.4918 0.7387
0.4918 0.0163 0.2613
0.0164 0.4918 0.2613
0.4918 0.4919 0.2613
0.4918 0.4919 0.7387
0.4918 0.0163 0.7387
0.9999 0.0000 0.0000
0.3334 0.3333 0.5000
0.6667 0.6667 0.5000
```

Output
magnetic moment	2.3	μB per formula unit
space group	P-6m2, No. 187
D(E_F)	2.8	states/eV/cell
calculated total energy	-4.4400	eV per atom